Below is crystalline Ti2InReI at its relaxed geometry, with properties calculated at the PBE level.

abc: 5.2368 5.2368 5.6248
angles: 90.00 90.00 90.00
Closest atoms and distances in Å follow each position.
Space group P4/mmm (No. 123)
Inequivalent atoms, fractional coordinates:
Ti1 0.0000 0.5000 0.0000  2 In 2.62
In1 0.0000 0.0000 0.0000  4 Ti 2.62, 2 I 2.81
Re1 0.5000 0.5000 0.5000  4 I 3.70, 8 Ti 3.84
I1 0.0000 0.0000 0.5000  2 In 2.81

size of the total moment	0.532	μB/f.u.
formation energy (no corrections)	2132	meV per atom
ρ	5.6	g cm⁻³

Below is crystalline PrThCS at its relaxed geometry, with properties calculated at the PBE level.

abc: 3.8583 3.8583 20.6385
angles: 90.00 90.00 120.00
Closest atoms and distances in Å follow each position.
Space group R3m (No. 160, hexagonal axes)
Inequivalent atoms, fractional coordinates:
Pr1 0.0000 0.0000 0.0000  3 C 2.74, 3 S 3.02
Th1 0.0000 0.0000 0.8058  3 C 2.56
C1 0.0000 0.0000 0.4110  3 Th 2.56, 3 Pr 2.74
S1 0.0000 0.0000 0.2346  3 Th 2.97, 3 Pr 3.02

size of the total moment	0.003	μB/f.u.
formation energy (no corrections)	-1105	meV per atom
ρ	7.8	g cm⁻³